DFT (PBE) results for an optimized crystal structure of TbBi2Au.

It has space group P4/mmm (No. 123), with a = 4.915 Å, b = 4.915 Å, c = 4.342 Å, α = 90.00°, β = 90.00° and γ = 90.00°. The inequivalent atoms are Tb at (0.000, 0.000, 0.000), Bi at (0.000, 0.500, 0.500) and Au at (0.500, 0.500, 0.000).

For the calculated formation energy, the calculation gives -0.46 eV/atom.